Compound: RePOs2
Source: Alexandria via LeMat-Bulk
Functional: PBE-GGA
Structure: relaxed

Results
energy relative to the elements	-0.038	eV per formula unit

Cell and atoms, written as POSCAR:
```
RePOs2
1.0
2.863 0.000 0.000
0.000 2.863 0.000
0.000 0.000 6.670
Re P Os
1 1 2
Cartesian
0.000 0.000 0.000
1.431 1.431 5.158
0.000 0.000 3.757
1.431 1.431 1.803
```